# 1
This record from Alexandria describes a geometry-optimized ZnCu5Rh structure. The functional is PBE.

Calculated values
total moment	0.024	μB/atom
E_form	12	kJ/mol of atoms

Lattice parameters (Å, degrees): 6.366 6.366 4.871 78.21 78.21 89.79
Site moments in Bohr magnetons follow the coordinates.
Positions (direct):
Zn  0.440  0.560  0.250  0.00
Zn  0.560  0.440  0.750  0.00
Cu  0.662  0.826  0.403  0.00
Cu  0.955  0.352  0.691  0.00
Cu  0.826  0.662  0.903  0.00
Cu  0.731  0.269  0.250  0.00
Cu  0.648  0.045  0.809  0.00
Cu  0.352  0.955  0.191  0.00
Cu  0.269  0.731  0.750  0.00
Cu  0.174  0.338  0.097  0.00
Cu  0.045  0.648  0.309  0.00
Cu  0.338  0.174  0.597  0.00
Rh  0.000  0.000  0.000  0.17
Rh  0.000  0.000  0.500  0.17

# 2
This record from Alexandria describes a geometry-optimized Zn3CuRh structure. The functional is PBE.

Calculated values
total moment	0.000	μB/atom
E_form	-22	kJ/mol of atoms
E above lowest polymorph	0.000	eV per atom

Lattice parameters (Å, degrees): 3.950 3.920 9.127 90.00 77.51 90.00
Positions (direct):
Zn  0.771  0.250  0.106
Zn  0.379  0.250  0.889
Zn  0.575  0.250  0.499
Zn  0.269  0.750  0.111
Zn  0.877  0.750  0.894
Zn  0.074  0.750  0.501
Cu  0.478  0.750  0.693
Cu  0.170  0.250  0.307
Rh  0.673  0.750  0.301
Rh  0.975  0.250  0.699

# 3
This record from Alexandria describes a geometry-optimized ZnCu6Rh structure. The functional is PBE.

Calculated values
total moment	0.000	μB/atom
E_form	-2	kJ/mol of atoms
E above lowest polymorph	0.000	eV per atom

Lattice parameters (Å, degrees): 4.239 5.231 5.231 120.05 90.00 90.00
Positions (direct):
Zn  0.000  0.083  0.917
Cu  0.000  0.081  0.416
Cu  0.000  0.584  0.919
Cu  0.000  0.585  0.415
Cu  0.500  0.421  0.085
Cu  0.500  0.915  0.579
Cu  0.500  0.915  0.085
Rh  0.500  0.417  0.583

# 4
This record from Alexandria describes a geometry-optimized Zn4CuRh structure. The functional is PBE.

Calculated values
total moment	0.000	μB/atom
E_form	-20	kJ/mol of atoms
E above lowest polymorph	0.004	eV per atom

Lattice parameters (Å, degrees): 6.769 7.456 5.035 137.76 99.37 90.00
Positions (direct):
Zn  0.625  0.540  0.251
Zn  0.625  0.211  0.251
Zn  0.125  0.711  0.251
Zn  0.125  0.039  0.251
Zn  0.375  0.789  0.749
Zn  0.375  0.460  0.749
Zn  0.875  0.961  0.749
Zn  0.875  0.289  0.749
Cu  0.750  0.750  0.000
Cu  0.250  0.250  0.000
Rh  0.500  0.000  0.500
Rh  0.000  0.500  0.500

What are the calculated density values for these records? In order: 8.5; 8.7; 9.1; 8.6 g/cm³.